Density functional theory data (PBE) for an optimized crystal structure of RbSnH2Pd.

Computed properties:
The crystal system is tetragonal. The density is 5.2 g/cm³. Its energy is -0.117 hartree per atom.

Unit cell a=4.3619 b=5.2751 c=4.3619 alpha=90.00 beta=90.00 gamma=90.00
Closest atoms and distances in Å follow each position.
Element x y z (fractional)
Sn 0.0000 0.0000 0.0000  4 H 2.18
Rb 0.5000 0.5000 0.5000  4 Pd 3.08, 8 H 3.42
Pd 0.0000 0.5000 0.0000  2 Sn 2.64
H 0.5000 0.0000 0.0000  2 Sn 2.18
H 0.0000 0.0000 0.5000  2 Sn 2.18

=====

Density functional theory data (PBE) for an optimized crystal structure of CaMg3O4.

Computed properties:
The calculation puts the formation energy from raw total energies at -2.63 eV/atom. The crystal system is cubic. The density is 3.3 g/cm³. Its energy is -0.219 hartree per atom.

Unit cell a=4.4488 b=4.4488 c=4.4488 alpha=90.00 beta=90.00 gamma=90.00
Closest atoms and distances in Å follow each position.
Element x y z (fractional)
O 0.0000 0.0000 0.5000  4 Mg 2.22, 2 Ca 2.22
Mg 0.5000 0.5000 0.0000  6 O 2.22
Mg 0.5000 0.0000 0.5000  6 O 2.22
O 0.0000 0.5000 0.0000  4 Mg 2.22, 2 Ca 2.22
Mg 0.0000 0.5000 0.5000  6 O 2.22
O 0.5000 0.5000 0.5000  6 Mg 2.22
Ca 0.0000 0.0000 0.0000  6 O 2.22
O 0.5000 0.0000 0.0000  4 Mg 2.22, 2 Ca 2.22

=====

Density functional theory data (PBE) for an optimized crystal structure of LiCoNi.

Computed properties:
The crystal system is monoclinic. The density is 5.7 g/cm³. The polymorph energy (0 for the lowest one) is 0 meV per atom. Its energy is -0.180 hartree per atom.

Unit cell a=2.5203 b=2.5207 c=11.7268 alpha=77.68 beta=90.00 gamma=90.00
Closest atoms and distances in Å follow each position.
Element x y z (fractional)
Ni 0.2500 0.0281 0.2229  4 Co 2.45, 4 Ni 2.52, 4 Li 2.59
Li 0.2500 0.6352 0.6127  4 Li 2.52, 4 Ni 2.59
Ni 0.7500 0.9719 0.7771  4 Co 2.45, 4 Ni 2.52, 4 Li 2.59
Co 0.7500 0.6736 0.0761  4 Ni 2.45, 8 Co 2.49-2.52
Li 0.7500 0.3648 0.3873  4 Li 2.52, 4 Ni 2.59
Co 0.2500 0.3264 0.9239  4 Ni 2.45, 8 Co 2.49-2.52

=====

Density functional theory data (PBE) for an optimized crystal structure of CsTlHg2Br6.

Computed properties:
The calculation puts the formation energy from raw total energies at -0.80 eV/atom. The crystal system is monoclinic. The density is 4.2 g/cm³. Its energy is -0.080 hartree per atom.

Unit cell a=10.1314 b=10.1314 c=10.2335 alpha=98.36 beta=98.36 gamma=110.02
Closest atoms and distances in Å follow each position.
Element x y z (fractional)
Br 0.4543 0.0332 0.3144  1 Hg 2.61
Br 0.4291 0.6643 0.0777  1 Hg 2.65
Br 0.5709 0.3357 0.9223  1 Hg 2.65
Hg 0.8229 0.5134 0.8956  3 Br 2.61-2.66
Br 0.5457 0.9668 0.6856  1 Hg 2.61
Hg 0.1771 0.4866 0.1044  3 Br 2.61-2.66
Br 0.2308 0.2004 0.5809  1 Hg 2.66
Br 0.2004 0.2308 0.0809  1 Hg 2.66
Tl 0.5495 0.4505 0.2500  6 Br 3.40-3.49
Hg 0.4866 0.1771 0.6044  3 Br 2.61-2.66
Br 0.9668 0.5457 0.1856  1 Hg 2.61
Br 0.7692 0.7996 0.4191  1 Hg 2.66
Br 0.6643 0.4291 0.5777  1 Hg 2.65
Hg 0.5134 0.8229 0.3956  3 Br 2.61-2.66
Tl 0.4505 0.5495 0.7500  6 Br 3.40-3.49
Br 0.3357 0.5709 0.4223  1 Hg 2.65
Br 0.7996 0.7692 0.9191  1 Hg 2.66
Cs 0.0599 0.9401 0.2500  6 Br 3.61-3.74
Cs 0.9401 0.0599 0.7500  6 Br 3.61-3.74
Br 0.0332 0.4543 0.8144  1 Hg 2.61

=====

Density functional theory data (PBE) for an optimized crystal structure of ZnIn2W.

Computed properties:
The crystal system is monoclinic. The density is 10.2 g/cm³. Its energy is -0.166 hartree per atom.

Unit cell a=5.6227 b=5.6227 c=5.0549 alpha=79.03 beta=79.03 gamma=29.69
Closest atoms and distances in Å follow each position.
Element x y z (fractional)
In 0.9842 0.9842 0.0464  1 Zn 2.84, 3 In 2.88-3.15, 4 W 2.93-2.95
In 0.7755 0.7755 0.6945  3 In 2.88-3.15, 4 Zn 2.95-3.01, 3 W 3.00-3.04
Zn 0.2154 0.2154 0.2269  2 W 2.74, 5 In 2.84-3.01, 2 Zn 2.88
W 0.5249 0.5249 0.5322  2 Zn 2.74, 2 W 2.88, 7 In 2.93-3.04

=====

Density functional theory data (PBE) for an optimized crystal structure of Sm2CdAg.

Computed properties:
The crystal system is tetragonal. The density is 8.1 g/cm³. Its energy is -0.132 hartree per atom.

Unit cell a=3.7553 b=3.7553 c=7.5504 alpha=90.00 beta=90.00 gamma=90.00
Closest atoms and distances in Å follow each position.
Element x y z (fractional)
Cd 0.5000 0.5000 0.5000  8 Sm 3.29
Ag 0.5000 0.5000 0.0000  8 Sm 3.23
Sm 0.0000 0.0000 0.7575  4 Ag 3.23, 4 Cd 3.29
Sm 0.0000 0.0000 0.2425  4 Ag 3.23, 4 Cd 3.29

=====

Density functional theory data (PBE) for an optimized crystal structure of CuPSe4.

Computed properties:
The calculation puts the formation energy from raw total energies at 0.97 eV/atom. The crystal system is cubic. The density is 5.5 g/cm³. Its energy is -0.108 hartree per atom.

Unit cell a=5.5927 b=5.5927 c=5.5927 alpha=60.00 beta=60.00 gamma=60.00
Closest atoms and distances in Å follow each position.
Element x y z (fractional)
Se 0.3744 0.3744 0.3744  6 Se 2.78-2.81
Se 0.3744 0.8768 0.3744  6 Se 2.78-2.81
Se 0.8768 0.3744 0.3744  6 Se 2.78-2.81
Cu 0.7500 0.7500 0.7500  12 Se 3.28, 4 P 3.42
Se 0.3744 0.3744 0.8768  6 Se 2.78-2.81
P 0.0000 0.0000 0.0000  12 Se 3.28, 4 Cu 3.42

=====

Density functional theory data (PBE) for an optimized crystal structure of Cs3Pr5P6S24.

Computed properties:
The calculation puts the formation energy from raw total energies at -1.11 eV/atom. The crystal system is monoclinic. The density is 2.9 g/cm³. Its energy is -0.193 hartree per atom.

Unit cell a=10.6686 b=10.6686 c=21.6374 alpha=79.68 beta=79.68 gamma=77.79
Closest atoms and distances in Å follow each position.
Element x y z (fractional)
S 0.4738 0.6663 0.4799  1 P 2.08
Cs 0.4512 0.1870 0.7847  8 S 3.62-3.97
P 0.8227 0.0821 0.1007  4 S 2.03-2.07
Cs 0.5115 0.0019 0.4707  5 S 3.65-3.89
S 0.2933 0.1682 0.0644  1 P 2.08
S 0.5626 0.2234 0.9432  1 P 2.07
S 0.2064 0.9701 0.1951  1 P 2.07
S 0.7363 0.2147 0.1594  1 P 2.03
P 0.9191 0.1777 0.3996  4 S 2.04-2.07
S 0.9507 0.1568 0.0268  1 P 2.07
Cs 0.5520 0.8045 0.2131  9 S 3.68-4.08
S 0.6831 0.1740 0.6405  1 P 2.03
Cs 0.1870 0.4512 0.2847  8 S 3.62-3.97
S 0.7103 0.8286 0.9361  1 P 2.08
S 0.6813 0.0267 0.0647  1 P 2.05
S 0.3192 0.8261 0.3600  1 P 2.03
S 0.1879 0.3870 0.6993  1 P 2.03
P 0.6162 0.3519 0.5946  4 S 2.03-2.08
Cs 0.0019 0.5115 0.9707  5 S 3.65-3.89
Pr 0.0632 0.8271 0.4337  8 S 2.90-3.08
P 0.3840 0.6464 0.4054  4 S 2.03-2.08
S 0.0267 0.6813 0.5647  1 P 2.05
S 0.2234 0.5626 0.4432  1 P 2.07
S 0.8138 0.6120 0.3014  1 P 2.02
S 0.3870 0.1879 0.1993  1 P 2.03
S 0.9352 0.7202 0.8162  1 P 2.04
S 0.7851 0.2630 0.3413  1 P 2.04
S 0.0816 0.0784 0.3513  1 P 2.05
S 0.2147 0.7363 0.6594  1 P 2.03
S 0.9229 0.9197 0.1489  1 P 2.05
P 0.6464 0.3840 0.9054  4 S 2.03-2.08
Pr 0.9354 0.0664 0.2497  8 S 2.93-3.14
S 0.6120 0.8138 0.8014  1 P 2.02
S 0.7756 0.4379 0.5566  1 P 2.07
S 0.9736 0.3197 0.4355  1 P 2.05
S 0.9197 0.9229 0.6489  1 P 2.05
P 0.3519 0.6162 0.0946  4 S 2.03-2.08
S 0.7956 0.0289 0.8058  1 P 2.07
S 0.1568 0.9507 0.5268  1 P 2.07
Pr 0.9377 0.1736 0.5670  8 S 2.89-3.09
Pr 0.7086 0.4874 0.4259  8 S 2.89-3.15
S 0.1682 0.2933 0.5644  1 P 2.08
S 0.8261 0.3192 0.8600  1 P 2.03
Pr 0.0664 0.9354 0.7497  8 S 2.93-3.14
Pr 0.1736 0.9377 0.0670  8 S 2.89-3.09
Pr 0.5119 0.2909 0.0745  8 S 2.89-3.16
S 0.6663 0.4738 0.9799  1 P 2.08
S 0.5048 0.5268 0.3484  1 P 2.03
S 0.0289 0.7956 0.3058  1 P 2.07
P 0.2365 0.1572 0.1622  4 S 2.03-2.08
Pr 0.2909 0.5119 0.5745  8 S 2.89-3.16
S 0.0497 0.8447 0.9735  1 P 2.07
S 0.3312 0.5262 0.0203  1 P 2.08
P 0.1572 0.2365 0.6622  4 S 2.03-2.08
S 0.1740 0.6831 0.1405  1 P 2.03
S 0.4714 0.4949 0.1517  1 P 2.03
S 0.7202 0.9352 0.3162  1 P 2.04
P 0.7636 0.8424 0.8382  4 S 2.02-2.08
Pr 0.8271 0.0632 0.9337  8 S 2.90-3.08
S 0.5268 0.5048 0.8484  1 P 2.03
S 0.2630 0.7851 0.8413  1 P 2.04
S 0.4949 0.4714 0.6517  1 P 2.03
Cs 0.8045 0.5520 0.7131  9 S 3.68-4.08
Pr 0.4874 0.7086 0.9259  8 S 2.89-3.15
P 0.1777 0.9191 0.8996  4 S 2.04-2.07
S 0.5262 0.3312 0.5203  1 P 2.08
S 0.0784 0.0816 0.8513  1 P 2.05
P 0.0821 0.8227 0.6007  4 S 2.03-2.07
S 0.9701 0.2064 0.6951  1 P 2.07
S 0.2786 0.0646 0.6821  1 P 2.04
S 0.8286 0.7103 0.4361  1 P 2.08
S 0.3197 0.9736 0.9355  1 P 2.05
S 0.4379 0.7756 0.0566  1 P 2.07
S 0.0646 0.2786 0.1821  1 P 2.04
P 0.8424 0.7636 0.3382  4 S 2.02-2.08
S 0.8447 0.0497 0.4735  1 P 2.07

=====

Density functional theory data (PBE) for an optimized crystal structure of Mg2Sc6CO.

Computed properties:
The calculation puts the formation energy from raw total energies at -0.80 eV/atom. The crystal system is cubic. The density is 3.0 g/cm³. Its energy is -0.233 hartree per atom.

Unit cell a=6.4516 b=6.4516 c=6.4513 alpha=60.00 beta=60.00 gamma=90.00
Closest atoms and distances in Å follow each position.
Element x y z (fractional)
Mg 0.7500 0.2500 0.5000  12 Sc 3.23
O 0.5000 0.5000 0.0000  6 Sc 2.30
Sc 0.7517 0.7517 0.4965  1 C 2.27, 1 O 2.30
Sc 0.2484 0.7517 0.0000  1 C 2.27, 1 O 2.30
Sc 0.2483 0.2483 0.5035  1 C 2.27, 1 O 2.30
Mg 0.2500 0.7500 0.5000  12 Sc 3.23
Sc 0.7517 0.7516 0.0001  1 C 2.27, 1 O 2.30
C 0.0000 0.0000 0.0000  6 Sc 2.27
Sc 0.7516 0.2483 0.0000  1 C 2.27, 1 O 2.30
Sc 0.2483 0.2484 0.0000  1 C 2.27, 1 O 2.30

=====

Density functional theory data (PBE) for an optimized crystal structure of Tc2Os.

Computed properties:
The crystal system is orthorhombic. The density is 14.8 g/cm³. The polymorph energy (0 for the lowest one) is 23 meV per atom. Its energy is -0.393 hartree per atom.

Unit cell a=2.7626 b=7.3124 c=4.3691 alpha=90.00 beta=90.00 gamma=79.11
Closest atoms and distances in Å follow each position.
Element x y z (fractional)
Os 0.0001 0.9997 0.0000  6 Tc 2.70-2.77, 6 Os 2.70-2.76
Tc 0.6660 0.6680 0.0000  4 Os 2.70-2.75, 8 Tc 2.71-2.77
Tc 0.3333 0.3335 0.0000  10 Tc 2.70-2.77, 2 Os 2.77
Tc 0.8895 0.2209 0.5000  4 Os 2.70-2.75, 8 Tc 2.71-2.77
Tc 0.2223 0.5554 0.5000  10 Tc 2.70-2.77, 2 Os 2.77
Os 0.5554 0.8892 0.5000  6 Tc 2.70-2.77, 6 Os 2.70-2.76

=====

Density functional theory data (PBE) for an optimized crystal structure of MnAgRh.

Computed properties:
The crystal system is cubic. The density is 8.4 g/cm³. The polymorph energy (0 for the lowest one) is 429 meV per atom. Its energy is -0.220 hartree per atom.

Unit cell a=4.2103 b=4.2103 c=4.2103 alpha=60.00 beta=60.00 gamma=60.00
Closest atoms and distances in Å follow each position.
Element x y z (fractional)
Ag 0.5000 0.5000 0.5000  4 Mn 2.58
Mn 0.7500 0.7500 0.7500  4 Rh 2.58, 4 Ag 2.58
Rh 0.0000 0.0000 0.0000  4 Mn 2.58

=====

Density functional theory data (PBE) for an optimized crystal structure of Ca2Cd2GePd5.

Computed properties:
The crystal system is tetragonal. The density is 7.7 g/cm³. Its energy is -0.152 hartree per atom.

Unit cell a=3.4221 b=10.6870 c=10.6870 alpha=90.00 beta=90.00 gamma=90.00
Closest atoms and distances in Å follow each position.
Element x y z (fractional)
Cd 0.0000 0.3623 0.1377  6 Pd 2.69-2.75, 1 Ca 2.96
Pd 0.5000 0.4557 0.3166  2 Ge 2.64, 2 Cd 2.75, 2 Pd 2.85
Cd 0.0000 0.8623 0.3623  6 Pd 2.69-2.75, 1 Ca 2.96
Cd 0.0000 0.6377 0.8623  6 Pd 2.69-2.75, 1 Ca 2.96
Pd 0.5000 0.3166 0.5443  2 Ge 2.64, 2 Cd 2.75, 2 Pd 2.85
Ge 0.0000 0.0000 0.0000  8 Pd 2.64
Pd 0.5000 0.9557 0.1834  2 Ge 2.64, 2 Cd 2.75, 2 Pd 2.85
Pd 0.5000 0.0443 0.8166  2 Ge 2.64, 2 Cd 2.75, 2 Pd 2.85
Pd 0.5000 0.6834 0.4557  2 Ge 2.64, 2 Cd 2.75, 2 Pd 2.85
Ca 0.0000 0.1663 0.3337  3 Cd 2.96-3.26, 6 Pd 3.04-3.25
Pd 0.5000 0.5443 0.6834  2 Ge 2.64, 2 Cd 2.75, 2 Pd 2.85
Ge 0.0000 0.5000 0.5000  8 Pd 2.64
Pd 0.5000 0.8166 0.9557  2 Ge 2.64, 2 Cd 2.75, 2 Pd 2.85
Ca 0.0000 0.8337 0.6663  3 Cd 2.96-3.26, 6 Pd 3.04-3.25
Ca 0.0000 0.6663 0.1663  3 Cd 2.96-3.26, 6 Pd 3.04-3.25
Pd 0.5000 0.0000 0.5000  4 Cd 2.69
Pd 0.5000 0.1834 0.0443  2 Ge 2.64, 2 Cd 2.75, 2 Pd 2.85
Ca 0.0000 0.3337 0.8337  3 Cd 2.96-3.26, 6 Pd 3.04-3.25
Cd 0.0000 0.1377 0.6377  6 Pd 2.69-2.75, 1 Ca 2.96
Pd 0.5000 0.5000 0.0000  4 Cd 2.69